DFT (PBE) results for a relaxed structure of Ba4HgAu.

Lattice parameters (Å, degrees): 5.916 5.923 15.035 90.00 90.00 90.00
Fractional positions:
1 Ba 0.000 0.000 0.124
2 Ba 0.000 0.000 0.876
3 Ba 0.000 0.500 0.367
4 Ba 0.000 0.500 0.633
5 Ba 0.500 0.000 0.367
6 Ba 0.500 0.000 0.633
7 Ba 0.500 0.500 0.124
8 Ba 0.500 0.500 0.876
9 Hg 0.000 0.000 0.500
10 Hg 0.500 0.500 0.500
11 Au 0.000 0.500 0.000
12 Au 0.500 0.000 0.000

Results
space group	No. 65
energy relative to the lowest polymorph listed for this composition	0	meV/atom
uncorrected energy	-2.303	eV/atom
total magnetization	0.00	μB per cell
formation energy	-2.55	eV/f.u.